No. 1
An optimized crystal structure of PmPu2Sn, computed with PBE.

a b c (Å): 7.6295 7.6295 7.6295
angles (deg): 90.00 90.00 90.00
With the nearest neighbours (Å) after each atom.
Space group Fm-3m (No. 225)
Symmetry-distinct sites (fractional):
Pm (0.0000, 0.0000, 0.0000) [4 per cell]  8 Pu 3.30
Pu (0.2500, 0.2500, 0.2500) [8 per cell]  4 Sn 3.30, 4 Pm 3.30
Sn (0.0000, 0.0000, 0.5000) [4 per cell]  8 Pu 3.30

Calculated values
Crystal system: cubic
Formation enthalpy at 0 K: -1.3 kJ/mol of formula units
ΔE to the lowest computed polymorph: 287 meV per atom

=====

No. 2
An optimized crystal structure of Sr3Cl, computed with PBE.

a b c (Å): 5.7785 5.7785 5.7785
angles (deg): 90.00 90.00 90.00
With the nearest neighbours (Å) after each atom.
Space group Pm-3m (No. 221)
Symmetry-distinct sites (fractional):
Sr (0.0000, 0.0000, 0.5000) [3 per cell]  4 Cl 4.09, 8 Sr 4.09
Cl (0.5000, 0.5000, 0.5000) [1 per cell]  12 Sr 4.09

Calculated values
Uncorrected formation energy: -0.340 eV per atom
Crystal system: cubic
ΔE to the lowest computed polymorph: 486 meV per atom

=====

No. 3
An optimized crystal structure of Ca3Zn2Sn2Au4, computed with PBE.

a b c (Å): 4.6685 4.6685 13.8756
angles (deg): 90.00 90.00 120.00
With the nearest neighbours (Å) after each atom.
Space group P-3m1 (No. 164)
Symmetry-distinct sites (fractional):
Ca (0.0000, 0.0000, 0.0000) [1 per cell]  6 Au 3.24, 6 Zn 3.32
Ca (0.0000, 0.0000, 0.2617) [2 per cell]  6 Au 3.11-3.26, 3 Zn 3.19, 3 Sn 3.45
Zn (0.3333, 0.6667, 0.1392) [2 per cell]  3 Au 2.70
Sn (0.3333, 0.6667, 0.5834) [2 per cell]  4 Au 2.76-2.90
Au (0.3333, 0.6667, 0.3741) [2 per cell]  4 Sn 2.76-2.90
Au (0.3333, 0.6667, 0.8711) [2 per cell]  3 Zn 2.70

Calculated values
Crystal system: trigonal
Formation enthalpy at 0 K: -576.0 kJ/mol of formula units

=====

No. 4
An optimized crystal structure of SrLi2Ga6, computed with PBE.

a b c (Å): 4.2269 7.3188 11.9632
angles (deg): 90.00 90.00 90.00
With the nearest neighbours (Å) after each atom.
Space group Immm (No. 71)
Symmetry-distinct sites (fractional):
Sr (0.0000, 0.0000, 0.0000) [2 per cell]  12 Ga 3.23-3.44
Li (0.0000, 0.5000, 0.1191) [4 per cell]  6 Ga 2.63-2.83, 1 Li 2.85
Ga (0.0000, 0.1666, 0.5000) [4 per cell]  3 Ga 2.44-2.56
Ga (0.0000, 0.3101, 0.3053) [8 per cell]  4 Ga 2.56-2.78, 1 Li 2.63

Calculated values
Crystal system: orthorhombic
Formation enthalpy at 0 K: -261.6 kJ/mol of formula units

=====

No. 5
An optimized crystal structure of Ac2InSn, computed with PBE.

a b c (Å): 4.6136 4.9943 12.4824
angles (deg): 90.00 90.00 90.00
With the nearest neighbours (Å) after each atom.
Space group Amm2 (No. 38)
Symmetry-distinct sites (fractional):
Ac (0.0000, 0.0000, 0.0000) [2 per cell]  4 Sn 3.49, 3 In 3.51-3.70
Ac (0.5000, 0.0000, 0.2805) [2 per cell]  4 In 3.49, 3 Sn 3.52-3.70
In (0.0000, 0.0000, 0.7188) [2 per cell]  2 Sn 3.02
Sn (0.5000, 0.0000, 0.5622) [2 per cell]  2 In 3.02

Calculated values
Crystal system: orthorhombic
Formation enthalpy at 0 K: -233.5 kJ/mol of formula units

=====

No. 6
An optimized crystal structure of HoTmMg3, computed with PBE.

a b c (Å): 3.3010 30.7226 5.1742
angles (deg): 90.00 90.00 90.00
With the nearest neighbours (Å) after each atom.
Space group Cmcm (No. 63)
Symmetry-distinct sites (fractional):
Ho (0.0000, 0.0744, 0.2500) [4 per cell]  2 Ho 3.30, 12 Mg 3.41-3.47
Tm (0.0000, 0.2200, 0.7500) [4 per cell]  7 Mg 3.26-3.41, 6 Tm 3.30-3.58
Mg (0.0000, 0.3261, 0.7500) [4 per cell]  4 Mg 3.02-3.30, 5 Tm 3.26-3.38
Mg (0.0000, 0.3771, 0.2500) [4 per cell]  5 Mg 3.02-3.30
Mg (0.0000, 0.4756, 0.2500) [4 per cell]  5 Mg 2.99-3.30

Calculated values
Crystal system: orthorhombic
Formation enthalpy at 0 K: -21.8 kJ/mol of formula units
ΔE to the lowest computed polymorph: 0 meV per atom

=====

No. 7
An optimized crystal structure of Y2RePt2, computed with PBE.

a b c (Å): 3.6531 3.6531 16.3628
angles (deg): 90.00 90.00 90.00
With the nearest neighbours (Å) after each atom.
Space group I4/mmm (No. 139)
Symmetry-distinct sites (fractional):
Y (0.0000, 0.0000, 0.1026) [4 per cell]  4 Pt 3.03, 4 Re 3.08, 1 Y 3.36
Re (0.0000, 0.0000, 0.5000) [2 per cell]  8 Y 3.08
Pt (0.0000, 0.5000, 0.2500) [4 per cell]  4 Pt 2.58

Calculated values
Crystal system: tetragonal
Formation enthalpy at 0 K: -72.1 kJ/mol of formula units
ΔE to the lowest computed polymorph: 0 meV per atom

=====

No. 8
An optimized crystal structure of InSbP, computed with PBE.

a b c (Å): 3.7208 5.5505 14.2719
angles (deg): 90.00 90.00 90.00
With the nearest neighbours (Å) after each atom.
Space group Fmm2 (No. 42)
Symmetry-distinct sites (fractional):
In (0.0000, 0.0000, 0.0000) [4 per cell]  2 P 2.90
Sb (0.0000, 0.0000, 0.2890) [4 per cell]  2 P 2.66
P (0.0000, 0.0000, 0.6556) [4 per cell]  2 Sb 2.66, 2 In 2.90

Calculated values
Uncorrected formation energy: 0.327 eV per atom
Crystal system: orthorhombic
ΔE to the lowest computed polymorph: 328 meV per atom